Entry from Alexandria via LeMat-Bulk: a geometry-optimized GaTePd4 structure (GGA-PBE).

Properties
Electronic total energy ... -4.940 eV per atom
DOS at the Fermi energy ... 0.44 states/eV/atom
Crystal system ... orthorhombic
Excess energy over the best structure of this formula in the dataset ... 0 meV per atom
Space-group type ... Pnma (62)

a = 4.0401 Å, b = 6.2440 Å, c = 16.3469 Å
α = 90.00°, β = 90.00°, γ = 90.00°
Positions (direct):
Ga: 0.2500 0.1816 0.1954
Ga: 0.2500 0.6816 0.3046
Ga: 0.7500 0.8184 0.8046
Ga: 0.7500 0.3184 0.6954
Pd: 0.2500 0.9717 0.0611
Pd: 0.7500 0.4240 0.8391
Pd: 0.7500 0.3974 0.2832
Pd: 0.7500 0.7713 0.3942
Pd: 0.2500 0.7287 0.8942
Pd: 0.7500 0.8974 0.2168
Pd: 0.2500 0.6026 0.7168
Pd: 0.7500 0.9240 0.6609
Pd: 0.7500 0.0283 0.9389
Pd: 0.2500 0.0760 0.3391
Pd: 0.7500 0.5283 0.5611
Pd: 0.2500 0.2287 0.6058
Pd: 0.2500 0.4717 0.4389
Pd: 0.7500 0.2713 0.1058
Pd: 0.2500 0.1026 0.7832
Pd: 0.2500 0.5760 0.1609
Te: 0.7500 0.6933 0.0592
Te: 0.2500 0.3067 0.9408
Te: 0.7500 0.1933 0.4408
Te: 0.2500 0.8067 0.5592

---

Entry from Alexandria via LeMat-Bulk: a geometry-optimized Ga3Te9Pd32 structure (GGA-PBE).

Properties
Electronic total energy ... -4.971 eV per atom
DOS at the Fermi energy ... 0.41 states/eV/atom
Crystal system ... trigonal
Space-group type ... R3 (146)

a = 7.7016 Å, b = 7.7016 Å, c = 15.1399 Å
α = 75.27°, β = 75.27°, γ = 60.00°
Positions (direct):
Pd: 0.0834 0.5843 0.5036
Pd: 0.1667 0.1667 0.4999
Pd: 0.6018 0.2228 0.2085
Pd: 0.5654 0.8206 0.3100
Pd: 0.8286 0.0834 0.5036
Pd: 0.4361 0.1607 0.6046
Pd: 0.7985 0.4361 0.6046
Pd: 0.3040 0.5654 0.3100
Pd: 0.5843 0.8286 0.5036
Pd: 0.3262 0.0695 0.8083
Pd: 0.5955 0.3288 0.0008
Pd: 0.3876 0.3876 0.8373
Pd: 0.3288 0.0750 0.0008
Pd: 0.1607 0.7985 0.6046
Pd: 0.2980 0.6712 0.1011
Pd: 0.5083 0.5083 0.4750
Pd: 0.2228 0.9669 0.2085
Pd: 0.2301 0.2301 0.3097
Pd: 0.8206 0.3040 0.3100
Pd: 0.4678 0.7351 0.7028
Pd: 0.0104 0.0104 0.9687
Pd: 0.6673 0.6673 0.9982
Pd: 0.0750 0.5955 0.0008
Pd: 0.7322 0.7322 0.8033
Pd: 0.7960 0.3262 0.8083
Pd: 0.9669 0.6018 0.2085
Pd: 0.8882 0.8882 0.3353
Pd: 0.7351 0.0943 0.7028
Pd: 0.0943 0.4678 0.7028
Pd: 0.6712 0.9296 0.1011
Pd: 0.9296 0.2980 0.1011
Pd: 0.0695 0.7960 0.8083
Ga: 0.4479 0.4479 0.6562
Ga: 0.7909 0.7909 0.6272
Ga: 0.9494 0.9494 0.1518
Te: 0.8773 0.5192 0.4074
Te: 0.2905 0.2905 0.1286
Te: 0.3824 0.6986 0.9015
Te: 0.6066 0.6066 0.1803
Te: 0.0174 0.3824 0.9015
Te: 0.1064 0.1064 0.6807
Te: 0.5192 0.1961 0.4074
Te: 0.6986 0.0174 0.9015
Te: 0.1961 0.8773 0.4074

---

Entry from Alexandria via LeMat-Bulk: a geometry-optimized GaTePd structure (GGA-PBE).

Properties
Electronic total energy ... -3.879 eV per atom
DOS at the Fermi energy ... 0.58 states/eV/atom
Crystal system ... tetragonal
Excess energy over the best structure of this formula in the dataset ... 241 meV per atom
Space-group type ... I4mm (107)

a = 3.8570 Å, b = 3.8570 Å, c = 4.9944 Å
α = 112.71°, β = 112.71°, γ = 90.00°
Positions (direct):
Ga: 0.2795 0.2795 0.5589
Pd: 0.9577 0.9577 0.9154
Te: 0.6128 0.6128 0.2257

---

Entry from Alexandria via LeMat-Bulk: a geometry-optimized GaTePd5 structure (GGA-PBE).

Properties
Electronic total energy ... -4.770 eV per atom
DOS at the Fermi energy ... 0.56 states/eV/atom
Crystal system ... monoclinic
Space-group type ... C2/c (15)

a = 6.5633 Å, b = 6.5633 Å, c = 7.7890 Å
α = 62.66°, β = 62.66°, γ = 83.54°
Positions (direct):
Pd: 0.3920 0.2302 0.6404
Pd: 0.7908 0.2092 0.2500
Pd: 0.8373 0.3849 0.5044
Pd: 0.3849 0.8373 0.0044
Pd: 0.6151 0.1627 0.9956
Pd: 0.7698 0.6080 0.8596
Pd: 0.2302 0.3920 0.1404
Pd: 0.1627 0.6151 0.4956
Pd: 0.6080 0.7698 0.3596
Pd: 0.2092 0.7908 0.7500
Te: 0.0000 0.0000 0.0000
Te: 0.0000 0.0000 0.5000
Ga: 0.4947 0.5053 0.7500
Ga: 0.5053 0.4947 0.2500

---

Entry from Alexandria via LeMat-Bulk: a geometry-optimized GaTePd3 structure (GGA-PBE).

Properties
Electronic total energy ... -4.075 eV per atom
DOS at the Fermi energy ... 0.45 states/eV/atom
Crystal system ... cubic
Excess energy over the best structure of this formula in the dataset ... 667 meV per atom
Space-group type ... Pm-3m (221)

a = 5.0002 Å, b = 5.0002 Å, c = 5.0002 Å
α = 90.00°, β = 90.00°, γ = 90.00°
Positions (direct):
Pd: 0.0000 0.0000 0.5000
Pd: 0.5000 0.0000 0.0000
Pd: 0.0000 0.5000 0.0000
Ga: 0.5000 0.5000 0.5000
Te: 0.0000 0.0000 0.0000

---

Entry from Alexandria via LeMat-Bulk: a geometry-optimized Ga2TePd structure (GGA-PBE).

Properties
Electronic total energy ... -3.745 eV per atom
DOS at the Fermi energy ... 0.09 states/eV/atom
Crystal system ... tetragonal
Space-group type ... I-42d (122)

a = 6.4326 Å, b = 6.4326 Å, c = 6.9204 Å
α = 62.31°, β = 62.31°, γ = 90.00°
Positions (direct):
Te: 0.0000 0.0000 0.0000
Te: 0.7500 0.2500 0.5000
Pd: 0.5000 0.5000 0.0000
Pd: 0.2500 0.7500 0.5000
Ga: 0.3750 0.4179 0.7500
Ga: 0.8750 0.8321 0.7500
Ga: 0.5821 0.1250 0.2500
Ga: 0.1679 0.6250 0.2500

---

Entry from Alexandria via LeMat-Bulk: a geometry-optimized GaTe3Pd structure (GGA-PBE).

Properties
Electronic total energy ... -3.319 eV per atom
DOS at the Fermi energy ... 1.13 states/eV/atom
Crystal system ... cubic
Excess energy over the best structure of this formula in the dataset ... 383 meV per atom
Space-group type ... Pm-3m (221)

a = 5.3609 Å, b = 5.3609 Å, c = 5.3609 Å
α = 90.00°, β = 90.00°, γ = 90.00°
Positions (direct):
Pd: 0.0000 0.0000 0.0000
Te: 0.0000 0.5000 0.0000
Te: 0.5000 0.0000 0.0000
Te: 0.0000 0.0000 0.5000
Ga: 0.5000 0.5000 0.5000

---

Entry from Alexandria via LeMat-Bulk: a geometry-optimized GaTePd4 structure (GGA-PBE).

Properties
Electronic total energy ... -4.878 eV per atom
DOS at the Fermi energy ... 0.40 states/eV/atom
Crystal system ... orthorhombic
Excess energy over the best structure of this formula in the dataset ... 61 meV per atom
Space-group type ... Pmna (53)

a = 4.6700 Å, b = 5.6347 Å, c = 7.8987 Å
α = 90.00°, β = 89.98°, γ = 90.00°
Positions (direct):
Pd: 0.9999 0.5934 0.1839
Pd: 0.9998 0.1034 0.3400
Pd: 0.5002 0.6034 0.6600
Pd: 0.4999 0.9066 0.1839
Pd: 0.4998 0.3966 0.3400
Pd: 0.5001 0.0934 0.8161
Pd: 0.0001 0.4066 0.8161
Pd: 0.0002 0.8966 0.6600
Ga: 0.0000 0.5000 0.5000
Ga: 0.5000 0.0000 0.5000
Te: 0.0000 0.0000 0.0000
Te: 0.5000 0.5000 0.0000

---

Entry from Alexandria via LeMat-Bulk: a geometry-optimized GaTe3Pd structure (GGA-PBE).

Properties
Electronic total energy ... -2.861 eV per atom
DOS at the Fermi energy ... 1.38 states/eV/atom
Crystal system ... cubic
Excess energy over the best structure of this formula in the dataset ... 841 meV per atom
Space-group type ... Pm-3m (221)

a = 5.3243 Å, b = 5.3243 Å, c = 5.3243 Å
α = 90.00°, β = 90.00°, γ = 90.00°
Positions (direct):
Te: 0.0000 0.0000 0.5000
Te: 0.5000 0.0000 0.0000
Te: 0.0000 0.5000 0.0000
Pd: 0.5000 0.5000 0.5000
Ga: 0.0000 0.0000 0.0000

---

Entry from Alexandria via LeMat-Bulk: a geometry-optimized GaTePd structure (GGA-PBE).

Properties
Electronic total energy ... -4.120 eV per atom
DOS at the Fermi energy ... 0.17 states/eV/atom
Crystal system ... triclinic
Excess energy over the best structure of this formula in the dataset ... 0 meV per atom
Space-group type ... P-1 (2)

a = 4.4561 Å, b = 7.7761 Å, c = 6.7828 Å
α = 52.57°, β = 48.51°, γ = 65.04°
Positions (direct):
Ga: 0.6336 0.6274 0.1030
Ga: 0.3664 0.3726 0.8970
Te: 0.5628 0.8244 0.3410
Te: 0.4372 0.1756 0.6590
Pd: 0.9047 0.5843 0.6777
Pd: 0.0953 0.4157 0.3223

---

Entry from Alexandria via LeMat-Bulk: a geometry-optimized GaTePd3 structure (GGA-PBE).

Properties
Electronic total energy ... -4.283 eV per atom
DOS at the Fermi energy ... 0.61 states/eV/atom
Crystal system ... cubic
Excess energy over the best structure of this formula in the dataset ... 459 meV per atom
Space-group type ... Pm-3m (221)

a = 4.6730 Å, b = 4.6730 Å, c = 4.6730 Å
α = 90.00°, β = 90.00°, γ = 90.00°
Positions (direct):
Ga: 0.0000 0.0000 0.0000
Pd: 0.5000 0.0000 0.0000
Pd: 0.0000 0.5000 0.0000
Pd: 0.0000 0.0000 0.5000
Te: 0.5000 0.5000 0.5000

---

Entry from Alexandria via LeMat-Bulk: a geometry-optimized TiGaTe2Pd structure (GGA-PBE).

Properties
Electronic total energy ... -3.745 eV per atom
DOS at the Fermi energy ... 1.29 states/eV/atom
Crystal system ... tetragonal
Space-group type ... P4/mmm (123)

a = 5.2570 Å, b = 4.7713 Å, c = 5.2570 Å
α = 90.00°, β = 90.00°, γ = 90.00°
Positions (direct):
Te: 0.0000 0.0000 0.5000
Te: 0.5000 0.0000 0.0000
Ga: 0.0000 0.0000 0.0000
Pd: 0.5000 0.5000 0.5000
Ti: 0.0000 0.5000 0.0000

---

Entry from Alexandria via LeMat-Bulk: a geometry-optimized Th2GaPd structure (GGA-PBE).

Properties
Electronic total energy ... -6.230 eV per atom
DOS at the Fermi energy ... 0.96 states/eV/atom
Crystal system ... cubic
Excess energy over the best structure of this formula in the dataset ... 137 meV per atom
Space-group type ... Fm-3m (225)

a = 5.1847 Å, b = 5.1847 Å, c = 5.1847 Å
α = 60.00°, β = 60.00°, γ = 60.00°
Positions (direct):
Th: 0.2500 0.2500 0.2500
Th: 0.7500 0.7500 0.7500
Ga: 0.5000 0.5000 0.5000
Pd: 0.0000 0.0000 0.0000

---

Entry from Alexandria via LeMat-Bulk: a geometry-optimized Th2GaPd5 structure (GGA-PBE).

Properties
Electronic total energy ... -6.217 eV per atom
DOS at the Fermi energy ... 0.47 states/eV/atom
Crystal system ... tetragonal
Space-group type ... I4mm (107)

a = 6.0521 Å, b = 6.0521 Å, c = 6.0521 Å
α = 91.87°, β = 118.93°, γ = 118.93°
Positions (direct):
Pd: 0.4536 0.7417 0.7417
Pd: 0.0000 0.2463 0.2463
Pd: 0.0000 0.2881 0.7417
Pd: 0.5464 0.2881 0.2881
Pd: 0.0000 0.7417 0.2881
Ga: 0.0000 0.9016 0.9016
Th: 0.5000 0.7573 0.2573
Th: 0.5000 0.2573 0.7573

---

Entry from Alexandria via LeMat-Bulk: a geometry-optimized Th2Ga2Pd structure (GGA-PBE).

Properties
Electronic total energy ... -5.883 eV per atom
DOS at the Fermi energy ... 1.15 states/eV/atom
Crystal system ... monoclinic
Space-group type ... C2/m (12)

a = 4.5017 Å, b = 5.8021 Å, c = 9.8917 Å
α = 87.29°, β = 76.85°, γ = 67.17°
Positions (direct):
Ga: 0.9199 0.7214 0.4389
Ga: 0.0801 0.2786 0.5611
Ga: 0.3643 0.1581 0.1133
Ga: 0.6357 0.8419 0.8867
Th: 0.9230 0.2623 0.8916
Th: 0.3174 0.6918 0.6733
Th: 0.0770 0.7377 0.1084
Th: 0.6826 0.3082 0.3267
Pd: 0.6213 0.1029 0.6546
Pd: 0.3787 0.8971 0.3454

---

Entry from Alexandria via LeMat-Bulk: a geometry-optimized ThGa8Pd4 structure (GGA-PBE).

Properties
Electronic total energy ... -4.555 eV per atom
DOS at the Fermi energy ... 0.47 states/eV/atom
Crystal system ... tetragonal
Space-group type ... I4/mmm (139)

a = 5.5545 Å, b = 6.9137 Å, c = 6.9137 Å
α = 80.71°, β = 66.32°, γ = 66.32°
Positions (direct):
Pd: 0.5000 0.0000 0.5000
Pd: 0.5000 0.5000 0.0000
Pd: 0.0000 0.5000 0.0000
Pd: 0.0000 0.0000 0.5000
Ga: 0.7164 0.7836 0.7836
Ga: 0.5000 0.7836 0.2164
Ga: 0.3513 0.6487 0.6487
Ga: 0.6487 0.3513 0.3513
Ga: 0.0000 0.6487 0.3513
Ga: 0.5000 0.2164 0.7836
Ga: 0.0000 0.3513 0.6487
Ga: 0.2836 0.2164 0.2164
Th: 0.0000 0.0000 0.0000

---

Entry from Alexandria via LeMat-Bulk: a geometry-optimized Th2GaPd structure (GGA-PBE).

Properties
Electronic total energy ... -6.291 eV per atom
DOS at the Fermi energy ... 1.05 states/eV/atom
Crystal system ... tetragonal
Excess energy over the best structure of this formula in the dataset ... 75 meV per atom
Space-group type ... P4/mmm (123)

a = 3.4801 Å, b = 3.4801 Å, c = 8.0325 Å
α = 90.00°, β = 90.00°, γ = 90.00°
Positions (direct):
Ga: 0.5000 0.5000 0.5000
Th: 0.0000 0.0000 0.2437
Th: 0.0000 0.0000 0.7563
Pd: 0.5000 0.5000 0.0000

---

Entry from Alexandria via LeMat-Bulk: a geometry-optimized Th3Ga2Pd7 structure (GGA-PBE).

Properties
Electronic total energy ... -6.173 eV per atom
DOS at the Fermi energy ... 0.63 states/eV/atom
Crystal system ... monoclinic
Space-group type ... P2/m (10)

a = 4.1065 Å, b = 4.2092 Å, c = 13.9953 Å
α = 98.52°, β = 90.00°, γ = 90.00°
Positions (direct):
Pd: 0.0000 0.0000 0.0000
Pd: 0.0000 0.5776 0.1549
Pd: 0.0000 0.4224 0.8451
Pd: 0.5000 0.7202 0.4394
Pd: 0.5000 0.9220 0.8441
Pd: 0.5000 0.0780 0.1559
Pd: 0.5000 0.2798 0.5606
Th: 0.0000 0.8221 0.6415
Th: 0.0000 0.1779 0.3585
Th: 0.5000 0.5000 0.0000
Ga: 0.5000 0.3706 0.7392
Ga: 0.5000 0.6294 0.2608

---

Entry from Alexandria via LeMat-Bulk: a geometry-optimized ThGa2Pd7 structure (GGA-PBE).

Properties
Electronic total energy ... -5.670 eV per atom
DOS at the Fermi energy ... 0.34 states/eV/atom
Crystal system ... tetragonal
Excess energy over the best structure of this formula in the dataset ... 0 meV per atom
Space-group type ... I4/mmm (139)

a = 4.1720 Å, b = 4.1720 Å, c = 10.5379 Å
α = 101.42°, β = 101.42°, γ = 90.00°
Positions (direct):
Pd: 0.8963 0.3963 0.7927
Pd: 0.1037 0.6037 0.2073
Pd: 0.5000 0.5000 0.0000
Pd: 0.3963 0.8963 0.7927
Pd: 0.7500 0.2500 0.5000
Pd: 0.6037 0.1037 0.2073
Pd: 0.2500 0.7500 0.5000
Th: 0.0000 0.0000 0.0000
Ga: 0.6779 0.6779 0.3557
Ga: 0.3221 0.3221 0.6443

---

Entry from Alexandria via LeMat-Bulk: a geometry-optimized ThGa7Pd5 structure (GGA-PBE).

Properties
Electronic total energy ... -4.774 eV per atom
DOS at the Fermi energy ... 0.48 states/eV/atom
Crystal system ... orthorhombic
Space-group type ... Imm2 (44)

a = 5.4950 Å, b = 6.9265 Å, c = 6.9265 Å
α = 83.09°, β = 66.63°, γ = 66.63°
Positions (direct):
Ga: 0.6383 0.3617 0.3617
Ga: 0.3482 0.6518 0.6518
Ga: 0.2619 0.2381 0.2381
Ga: 0.9862 0.3651 0.6625
Ga: 0.5135 0.7850 0.1880
Ga: 0.5135 0.1880 0.7850
Ga: 0.9862 0.6625 0.3651
Th: 0.0037 0.9963 0.9963
Pd: 0.7170 0.7830 0.7830
Pd: 0.0089 0.4742 0.0100
Pd: 0.0089 0.0100 0.4742
Pd: 0.5068 0.0100 0.4742
Pd: 0.5068 0.4742 0.0100

---

| no. | M_tot (μB per atom) | ρ (Mg/m³) |
| --- | --- | --- |
| 1 | 0.00 | 10.0 |
| 2 | 0.00 | 10.6 |
| 3 | 0.00 | 8.1 |
| 4 | 0.00 | 9.2 |
| 5 | 0.00 | 6.9 |
| 6 | 0.00 | 5.7 |
| 7 | 0.00 | 6.0 |
| 8 | 0.00 | 10.0 |
| 9 | 0.00 | 6.1 |
| 10 | 0.00 | 7.2 |
| 11 | 0.00 | 8.4 |
| 12 | 0.00 | 6.0 |
| 13 | 0.00 | 10.8 |
| 14 | 0.00 | 11.1 |
| 15 | 0.00 | 10.2 |
| 16 | 0.00 | 9.1 |
| 17 | 0.00 | 10.9 |
| 18 | 0.00 | 11.0 |
| 19 | 0.00 | 10.5 |
| 20 | 0.00 | 9.4 |